VASP calculation (GGA+U) on an optimized crystal structure of BaMoAu2O.

Properties
calculated volume: 33.51 Å³ per atom
E_tot: -17.892 eV/f.u.

Cell: 6.1231 4.4692 6.1231 Å, 90.00 90.00 90.00°
Each line ends with the local moment (μB).
Fractional coordinates of all 5 atoms:
Mo 0.5000 0.5000 0.5000  4.15
Au 0.0000 0.0000 0.5000  -0.07
Au 0.5000 0.0000 0.0000  -0.08
Ba 0.0000 0.0000 0.0000  -0.06
O 0.0000 0.5000 0.0000  -0.21